Model one:
# NdTm8Sc2

A relaxed structure of NdTm8Sc2 (PBE, Alexandria).

Cell and atoms, written as extended XYZ:
```
11
Lattice="8.8394 -2.4463 0.0000 8.8394 2.4463 0.0000 -2.0590 0.0000 7.4824" Properties=species:S:1:pos:R:3 pbc="T T T"
Nd 0.0000 0.0000 0.0000
Tm 0.7227 0.0000 3.4367
Tm 1.3662 0.0000 6.8143
Tm 4.6999 0.0000 6.0535
Tm 7.4329 0.0000 2.0505
Tm 8.1868 0.0000 5.4319
Tm 10.9198 0.0000 1.4289
Tm 14.2536 0.0000 0.6680
Tm 14.8971 0.0000 4.0456
Sc 4.0500 0.0000 2.7328
Sc 11.5698 0.0000 4.7495
```


Model two:
# NdTm8Sc2

A relaxed structure of NdTm8Sc2 (PBE, Alexandria).

Cell and atoms, written as extended XYZ:
```
11
Lattice="-2.6464 4.0198 7.7668 2.6464 -4.0198 7.7668 2.6464 4.0198 -7.7668" Properties=species:S:1:pos:R:3 pbc="T T T"
Nd 0.0000 0.0000 0.0000
Tm 2.6464 -1.6573 5.5325
Tm 2.6464 0.0000 2.5537
Tm 2.6464 2.4052 0.0000
Tm 0.0000 2.3625 2.2342
Tm 2.6464 1.6573 5.5325
Tm 0.0000 1.6147 7.7668
Tm 0.0000 4.0198 5.2130
Tm 0.0000 5.6771 2.2342
Sc 0.0000 0.0000 4.6602
Sc 0.0000 0.0000 10.8734
```


Most stable structure - model one; separation to the second - 86 meV/atom.